Record 1
DFT (GGA-PBE) results for an optimized crystal structure of Er5ThZn6.

Cell and atoms, written as CIF:
```
data_Er5ThZn6
_space_group_name_H-M_alt 'I m m m'
_space_group_IT_number 71
_space_group_name_Hall '-I 2 2'
_cell_length_a 5.0185
_cell_length_b 7.1519
_cell_length_c 15.0855
_cell_angle_alpha 90.00
_cell_angle_beta 90.00
_cell_angle_gamma 90.00
loop_
_atom_site_label
_atom_site_type_symbol
_atom_site_fract_x
_atom_site_fract_y
_atom_site_fract_z
_atom_site_occupancy
Er1 Er 0.0000 0.0000 0.0000 1
Er2 Er 0.0000 0.0000 0.3348 1
Er3 Er 0.0000 0.5000 0.3327 1
Th1 Th 0.0000 0.5000 0.0000 1
Zn1 Zn 0.0000 0.2433 0.1701 1
Zn2 Zn 0.0000 0.2621 0.5000 1
```

energy of formation = -0.309 eV/atom
volume = 22.6 Å³/atom

Record 2
DFT (GGA-PBE) results for an optimized crystal structure of ErThZn2.

Cell and atoms, written as CIF:
```
data_ErThZn2
_space_group_name_H-M_alt 'P 4/m m m'
_space_group_IT_number 123
_space_group_name_Hall '-P 4 2'
_cell_length_a 3.5551
_cell_length_b 3.5551
_cell_length_c 7.3818
_cell_angle_alpha 90.00
_cell_angle_beta 90.00
_cell_angle_gamma 90.00
loop_
_atom_site_label
_atom_site_type_symbol
_atom_site_fract_x
_atom_site_fract_y
_atom_site_fract_z
_atom_site_occupancy
Er1 Er 0.0000 0.0000 0.0000 1
Th1 Th 0.0000 0.0000 0.5000 1
Zn1 Zn 0.5000 0.5000 0.2278 1
```

energy of formation = -0.256 eV/atom
volume = 23.3 Å³/atom

Record 3
DFT (GGA-PBE) results for an optimized crystal structure of ErThZn4.

Cell and atoms, written as CIF:
```
data_ErThZn4
_space_group_name_H-M_alt 'I -4 m 2'
_space_group_IT_number 119
_space_group_name_Hall 'I -4 -2'
_cell_length_a 4.1337
_cell_length_b 4.1337
_cell_length_c 15.1603
_cell_angle_alpha 90.00
_cell_angle_beta 90.00
_cell_angle_gamma 90.00
loop_
_atom_site_label
_atom_site_type_symbol
_atom_site_fract_x
_atom_site_fract_y
_atom_site_fract_z
_atom_site_occupancy
Er1 Er 0.0000 0.0000 0.0000 1
Th1 Th 0.0000 0.5000 0.2500 1
Zn1 Zn 0.0000 0.0000 0.4198 1
Zn2 Zn 0.0000 0.5000 0.6663 1
```

energy of formation = -0.241 eV/atom
volume = 21.6 Å³/atom
excess energy over the best structure of this formula in the dataset = 0.0306 eV per atom

Record 4
DFT (GGA-PBE) results for an optimized crystal structure of ErThZn17.

Cell and atoms, written as CIF:
```
data_ErThZn17
_space_group_name_H-M_alt 'R 3 m'
_space_group_IT_number 160
_space_group_name_Hall 'R 3 -2"'
_cell_length_a 9.0110
_cell_length_b 9.0110
_cell_length_c 13.1879
_cell_angle_alpha 90.00
_cell_angle_beta 90.00
_cell_angle_gamma 120.00
loop_
_atom_site_label
_atom_site_type_symbol
_atom_site_fract_x
_atom_site_fract_y
_atom_site_fract_z
_atom_site_occupancy
Er1 Er 0.0000 0.0000 0.0000 1
Th1 Th 0.0000 0.0000 0.6722 1
Zn1 Zn 0.0000 0.0000 0.2348 1
Zn2 Zn 0.0000 0.0000 0.4334 1
Zn3 Zn 0.0060 0.5030 0.4880 1
Zn4 Zn 0.0393 0.3703 0.0024 1
Zn5 Zn 0.1677 0.3354 0.1699 1
Zn6 Zn 0.1725 0.3450 0.5165 1
```

energy of formation = -0.213 eV/atom
volume = 16.3 Å³/atom

Record 5
DFT (GGA-PBE) results for an optimized crystal structure of ErTh2Zr.

Cell and atoms, written as CIF:
```
data_ErTh2Zr
_space_group_name_H-M_alt 'R -3 m'
_space_group_IT_number 166
_space_group_name_Hall '-R 3 2"'
_cell_length_a 3.4910
_cell_length_b 3.4910
_cell_length_c 33.3054
_cell_angle_alpha 90.00
_cell_angle_beta 90.00
_cell_angle_gamma 120.00
loop_
_atom_site_label
_atom_site_type_symbol
_atom_site_fract_x
_atom_site_fract_y
_atom_site_fract_z
_atom_site_occupancy
Er1 Er 0.0000 0.0000 0.0000 1
Th1 Th 0.0000 0.0000 0.2472 1
Zr1 Zr 0.0000 0.0000 0.5000 1
```

energy of formation = 0.105 eV/atom
volume = 29.3 Å³/atom
excess energy over the best structure of this formula in the dataset = 0.0207 eV per atom

Record 6
DFT (GGA-PBE) results for an optimized crystal structure of ErTh2Zr.

Cell and atoms, written as CIF:
```
data_ErTh2Zr
_space_group_name_H-M_alt 'F m -3 m'
_space_group_IT_number 225
_space_group_name_Hall '-F 4 2 3'
_cell_length_a 7.7521
_cell_length_b 7.7521
_cell_length_c 7.7521
_cell_angle_alpha 90.00
_cell_angle_beta 90.00
_cell_angle_gamma 90.00
loop_
_atom_site_label
_atom_site_type_symbol
_atom_site_fract_x
_atom_site_fract_y
_atom_site_fract_z
_atom_site_occupancy
Er1 Er 0.0000 0.0000 0.0000 1
Th1 Th 0.2500 0.2500 0.2500 1
Zr1 Zr 0.0000 0.0000 0.5000 1
```

energy of formation = 0.125 eV/atom
volume = 29.1 Å³/atom
excess energy over the best structure of this formula in the dataset = 0.0403 eV per atom

Record 7
DFT (GGA-PBE) results for an optimized crystal structure of Er3Th2Zr.

Cell and atoms, written as CIF:
```
data_Er3Th2Zr
_space_group_name_H-M_alt 'P -1'
_space_group_IT_number 2
_cell_length_a 3.3961
_cell_length_b 9.5994
_cell_length_c 11.6848
_cell_angle_alpha 106.67
_cell_angle_beta 98.35
_cell_angle_gamma 90.00
loop_
_space_group_symop_operation_xyz
'x,y,z'
'-x,-y,-z'
loop_
_atom_site_label
_atom_site_type_symbol
_atom_site_fract_x
_atom_site_fract_y
_atom_site_fract_z
_atom_site_occupancy
Er1 Er 0.0576 0.2851 0.1156 1
Er2 Er 0.3127 0.4743 0.6253 1
Er3 Er 0.4299 0.0331 0.8590 1
Th1 Th 0.1942 0.1927 0.3886 1
Th2 Th 0.4349 0.3767 0.8699 1
Zr1 Zr 0.1874 0.8672 0.3755 1
```

energy of formation = 0.133 eV/atom
volume = 30.1 Å³/atom

Record 8
DFT (GGA-PBE) results for an optimized crystal structure of ErTh2Zr.

Cell and atoms, written as CIF:
```
data_ErTh2Zr
_space_group_name_H-M_alt 'P 4/m m m'
_space_group_IT_number 123
_space_group_name_Hall '-P 4 2'
_cell_length_a 4.9258
_cell_length_b 4.9258
_cell_length_c 4.8565
_cell_angle_alpha 90.00
_cell_angle_beta 90.00
_cell_angle_gamma 90.00
loop_
_atom_site_label
_atom_site_type_symbol
_atom_site_fract_x
_atom_site_fract_y
_atom_site_fract_z
_atom_site_occupancy
Er1 Er 0.0000 0.0000 0.0000 1
Th1 Th 0.0000 0.5000 0.5000 1
Zr1 Zr 0.5000 0.5000 0.0000 1
```

energy of formation = 0.092 eV/atom
volume = 29.5 Å³/atom
excess energy over the best structure of this formula in the dataset = 0.0078 eV per atom

Record 9
DFT (GGA-PBE) results for an optimized crystal structure of ErTh2Zr.

Cell and atoms, written as CIF:
```
data_ErTh2Zr
_space_group_name_H-M_alt 'P 4/m m m'
_space_group_IT_number 123
_space_group_name_Hall '-P 4 2'
_cell_length_a 3.4773
_cell_length_b 3.4773
_cell_length_c 9.7803
_cell_angle_alpha 90.00
_cell_angle_beta 90.00
_cell_angle_gamma 90.00
loop_
_atom_site_label
_atom_site_type_symbol
_atom_site_fract_x
_atom_site_fract_y
_atom_site_fract_z
_atom_site_occupancy
Er1 Er 0.0000 0.0000 0.0000 1
Th1 Th 0.5000 0.5000 0.2624 1
Zr1 Zr 0.0000 0.0000 0.5000 1
```

energy of formation = 0.085 eV/atom
volume = 29.6 Å³/atom
excess energy over the best structure of this formula in the dataset = 0.0000 eV per atom

Record 10
DFT (GGA-PBE) results for an optimized crystal structure of ErTh2Zr.

Cell and atoms, written as CIF:
```
data_ErTh2Zr
_space_group_name_H-M_alt 'R 3 m'
_space_group_IT_number 160
_space_group_name_Hall 'R 3 -2"'
_cell_length_a 3.4764
_cell_length_b 3.4764
_cell_length_c 33.7140
_cell_angle_alpha 90.00
_cell_angle_beta 90.00
_cell_angle_gamma 120.00
loop_
_atom_site_label
_atom_site_type_symbol
_atom_site_fract_x
_atom_site_fract_y
_atom_site_fract_z
_atom_site_occupancy
Er1 Er 0.0000 0.0000 0.0000 1
Th1 Th 0.0000 0.0000 0.5828 1
Th2 Th 0.0000 0.0000 0.7547 1
Zr1 Zr 0.0000 0.0000 0.1703 1
```

energy of formation = 0.104 eV/atom
volume = 29.4 Å³/atom
excess energy over the best structure of this formula in the dataset = 0.0196 eV per atom

Record 11
DFT (GGA-PBE) results for an optimized crystal structure of Er14ThZr.

Cell and atoms, written as CIF:
```
data_Er14ThZr
_space_group_name_H-M_alt 'A m m 2'
_space_group_IT_number 38
_cell_length_a 10.8285
_cell_length_b 8.0154
_cell_length_c 11.1578
_cell_angle_alpha 90.00
_cell_angle_beta 90.00
_cell_angle_gamma 90.00
loop_
_space_group_symop_operation_xyz
'x,y,z'
'-x,-y,z'
'-x,y,z'
'x,-y,z'
'x,y+1/2,z+1/2'
'-x,-y+1/2,z+1/2'
'-x,y+1/2,z+1/2'
'x,-y+1/2,z+1/2'
loop_
_atom_site_label
_atom_site_type_symbol
_atom_site_fract_x
_atom_site_fract_y
_atom_site_fract_z
_atom_site_occupancy
Er1 Er 0.0000 0.0000 0.0000 1
Er2 Er 0.0000 0.0000 0.4510 1
Er3 Er 0.0000 0.2145 0.7243 1
Er4 Er 0.2480 0.0000 0.8043 1
Er5 Er 0.2589 0.2091 0.5267 1
Er6 Er 0.2607 0.0000 0.2527 1
Er7 Er 0.5000 0.2110 0.7363 1
Th1 Th 0.5000 0.0000 0.0231 1
Zr1 Zr 0.5000 0.0000 0.4569 1
```

energy of formation = 0.072 eV/atom
volume = 30.3 Å³/atom

Record 12
DFT (GGA-PBE) results for an optimized crystal structure of ErTi3.

Cell and atoms, written as CIF:
```
data_ErTi3
_space_group_name_H-M_alt 'P m m 2'
_space_group_IT_number 25
_cell_length_a 3.0885
_cell_length_b 4.7922
_cell_length_c 5.4632
_cell_angle_alpha 90.00
_cell_angle_beta 90.00
_cell_angle_gamma 90.00
loop_
_space_group_symop_operation_xyz
'x,y,z'
'-x,-y,z'
'-x,y,z'
'x,-y,z'
loop_
_atom_site_label
_atom_site_type_symbol
_atom_site_fract_x
_atom_site_fract_y
_atom_site_fract_z
_atom_site_occupancy
Er1 Er 0.0000 0.0000 0.0000 1
Ti1 Ti 0.0000 0.5000 0.6513 1
Ti2 Ti 0.5000 0.0000 0.4968 1
Ti3 Ti 0.5000 0.5000 0.2107 1
```

energy of formation = 0.169 eV/atom
volume = 20.2 Å³/atom

The highest energy of formation belongs to which entry?
ErTi3